{"formula": "LiPu2Ga3", "functional": "PBE", "state": "relaxed", "cell": [[5.583, 0.000, 0.000], [-2.792, 4.835, 0.000], [0.000, 0.000, 8.571]], "species": ["Li", "Li", "Pu", "Pu", "Pu", "Pu", "Ga", "Ga", "Ga", "Ga", "Ga", "Ga"], "frac_coords": [[0.000, 0.000, 0.000], [0.000, 0.000, 0.500], [0.333, 0.667, 0.076], [0.333, 0.667, 0.424], [0.667, 0.333, 0.576], [0.667, 0.333, 0.924], [0.169, 0.339, 0.750], [0.169, 0.831, 0.750], [0.339, 0.169, 0.250], [0.661, 0.831, 0.750], [0.831, 0.169, 0.250], [0.831, 0.661, 0.250]], "e_tot_ev_per_atom": -6.939, "m_tot_mub_per_cell": 22.11, "volume_a3_per_atom": 19.28, "spacegroup": "P6_3/mmc"}